This record from the Alexandria database describes a relaxed Np2ScS4 crystal. The functional is PBE-GGA.

Summary:
Its total energy is -8.414 eV/atom. For the polymorph energy (0 for the lowest one), the calculation gives 0.16 eV per formula unit. Its magnetic moment is 17.293 μB per cell. Its uncorrected formation energy is -140.3 kJ/mol of atoms. The symmetry is Cmcm.

a = 6.712 Å, b = 6.712 Å, c = 12.988 Å
α = 90.00°, β = 90.00°, γ = 148.11°
Positions (direct):
Np (0.134, 0.866, 0.573)
Np (0.134, 0.866, 0.927)
Np (0.866, 0.134, 0.073)
Np (0.866, 0.134, 0.427)
Sc (0.374, 0.626, 0.750)
Sc (0.626, 0.374, 0.250)
S (0.019, 0.981, 0.750)
S (0.217, 0.783, 0.127)
S (0.217, 0.783, 0.373)
S (0.500, 0.500, 0.000)
S (0.500, 0.500, 0.500)
S (0.783, 0.217, 0.627)
S (0.783, 0.217, 0.873)
S (0.981, 0.019, 0.250)

This record from the Alexandria database describes a relaxed La2Au crystal. The functional is PBE-GGA.

Summary:
Its total energy is -4.729 eV/atom. Its magnetic moment is 0.548 μB per cell. The calculation puts the formation energy from the elements at -0.35 eV per atom. The symmetry is P4/mmm.

a = 5.197 Å, b = 5.197 Å, c = 3.722 Å
α = 90.00°, β = 90.00°, γ = 90.00°
Positions (direct):
La (0.000, 0.500, 0.000)
La (0.500, 0.000, 0.000)
Au (0.000, 0.000, 0.500)